Record 1
# PBE VBC, relaxed
# Crystal system = tetragonal
# Volume = 8.690 Å³ per atom
# Mass density = 4.70 g/cm³
# E_form = 0.444 eV/atom
data_VBC
_cell_length_a 3.028
_cell_length_b 3.028
_cell_length_c 5.686
_cell_angle_alpha 90.00
_cell_angle_beta 90.00
_cell_angle_gamma 90.00
_symmetry_space_group_name_H-M 'I 4 m m'
_symmetry_Int_Tables_number 107
_symmetry_space_group_name_Hall 'I 4 -2'
loop_
_atom_site_label
_atom_site_type_symbol
_atom_site_fract_x
_atom_site_fract_y
_atom_site_fract_z
V1 V 0.000 0.000 0.000
B1 B 0.000 0.000 0.621
C1 C 0.000 0.000 0.361

=====

Record 2
# PBE ZrMn2Cr, relaxed
# Crystal system = cubic
# Volume = 13.528 Å³ per atom
# Mass density = 7.77 g/cm³
# E_form = 0.112 eV/atom
data_ZrMn2Cr
_cell_length_a 6.004
_cell_length_b 6.004
_cell_length_c 6.004
_cell_angle_alpha 90.00
_cell_angle_beta 90.00
_cell_angle_gamma 90.00
_symmetry_space_group_name_H-M 'F m -3 m'
_symmetry_Int_Tables_number 225
_symmetry_space_group_name_Hall '-F 4 2 3'
loop_
_atom_site_label
_atom_site_type_symbol
_atom_site_fract_x
_atom_site_fract_y
_atom_site_fract_z
Zr1 Zr 0.000 0.000 0.000
Mn1 Mn 0.250 0.250 0.250
Cr1 Cr 0.000 0.000 0.500

=====

Record 3
# PBE Rb2SmCuBr6, relaxed
# Crystal system = monoclinic
# Volume = 36.692 Å³ per atom
# Mass density = 3.91 g/cm³
# Energy relative to the elements, uncorrected = -1.49 eV per atom
data_Rb2SmCuBr6
_cell_length_a 8.291
_cell_length_b 8.867
_cell_length_c 12.939
_cell_angle_alpha 90.00
_cell_angle_beta 129.51
_cell_angle_gamma 90.00
_symmetry_space_group_name_H-M 'P 1 21/c 1'
_symmetry_Int_Tables_number 14
loop_
_symmetry_equiv_pos_as_xyz
'x,y,z'
'-x,-y,-z'
'-x,y+1/2,-z+1/2'
'x,-y+1/2,z+1/2'
loop_
_atom_site_label
_atom_site_type_symbol
_atom_site_fract_x
_atom_site_fract_y
_atom_site_fract_z
Rb1 Rb 0.230 0.078 0.248
Sm1 Sm 0.000 0.000 0.500
Cu1 Cu 0.500 0.000 0.000
Br1 Br 0.130 0.229 0.954
Br2 Br 0.236 0.674 0.954
Br3 Br 0.376 0.026 0.783

=====

Record 4
# PBE CoTc2Os, relaxed
# Crystal system = orthorhombic
# Volume = 13.598 Å³ per atom
# Mass density = 13.59 g/cm³
# E_form = 0.086 eV/atom
data_CoTc2Os
_cell_length_a 5.319
_cell_length_b 7.615
_cell_length_c 2.686
_cell_angle_alpha 90.00
_cell_angle_beta 90.00
_cell_angle_gamma 90.00
_symmetry_space_group_name_H-M 'C m m m'
_symmetry_Int_Tables_number 65
_symmetry_space_group_name_Hall '-C 2 2'
loop_
_atom_site_label
_atom_site_type_symbol
_atom_site_fract_x
_atom_site_fract_y
_atom_site_fract_z
Co1 Co 0.000 0.000 0.000
Tc1 Tc 0.250 0.250 0.500
Os1 Os 0.000 0.500 0.000

=====

Table of raw total energy (eV per atom), in record order: -7.8962, -9.0153, -3.5698, -9.6812